DFT (meta-GGA SCAN) results for a crystal of Li2ZrNi relaxed with PBEsol.

a = 6.050 Å, b = 6.050 Å, c = 6.050 Å
α = 90.00°, β = 90.00°, γ = 90.00°
Space group Fm-3m (No. 225)
Symmetry-distinct sites (fractional):
Li 0.250 0.250 0.250 x8
Zr 0.000 0.000 0.000 x4
Ni 0.000 0.000 0.500 x4

Calculated values
The formation energy comes out at 0.3000 eV per atom. Its calculated volume is 221.5 Å³ per cell. The raw total energy is -201.8 eV/cell.